This record from the Alexandria database describes a relaxed structure of Tl3SbC. The functional is PBEsol.

Values from the calculation:
Symmetry: Pm-3m, No. 221
DOS at the Fermi energy, states/eV per atom: 0.379
Energy relative to the elements, uncorrected, meV per atom: 839
E, eV per atom: -3.58

Lattice parameters (Å, degrees): 4.886 4.886 4.886 90.00 90.00 90.00
Positions (direct):
Tl 0.000 0.000 0.500
Tl 0.000 0.500 0.000
Tl 0.500 0.000 0.000
Sb 0.500 0.500 0.500
C 0.000 0.000 0.000